(1)
The following is a GGA-PBE calculation of a geometry-optimized AlSnSe2 structure, from the Alexandria database.

a b c (Å): 10.857 10.857 10.857
angles (deg): 16.45 16.45 16.45
Positions (direct):
Al: 0.000 0.000 0.000
Sn: 0.500 0.500 0.500
Se: 0.080 0.080 0.080
Se: 0.920 0.920 0.920

## Properties
* raw formation energy: 0.7 eV/f.u.
* space-group type: R-3m (166)
* calculated density: 5.633 Mg/m³
* magnetic moment: 0.000 μB per atom

=====

(2)
The following is a GGA-PBE calculation of a geometry-optimized Nb2AsP structure, from the Alexandria database.

a b c (Å): 7.900 7.900 7.900
angles (deg): 25.68 25.68 25.68
Positions (direct):
Nb: 0.108 0.108 0.108
Nb: 0.892 0.892 0.892
As: 0.000 0.000 0.000
P: 0.500 0.500 0.500

## Properties
* formation enthalpy at 0 K: -224 meV per atom
* space-group type: R-3m (166)
* calculated density: 5.941 Mg/m³
* magnetic moment: 0.000 μB per atom

=====

(3)
The following is a GGA-PBE calculation of a geometry-optimized NaCeInI6 structure, from the Alexandria database.

a b c (Å): 8.042 8.042 14.698
angles (deg): 90.00 90.00 120.00
Positions (direct):
Na: 0.333 0.667 0.250
Na: 0.667 0.333 0.750
Ce: 0.333 0.667 0.750
Ce: 0.667 0.333 0.250
In: 0.000 0.000 0.000
In: 0.000 0.000 0.500
I: 0.019 0.363 0.630
I: 0.019 0.656 0.870
I: 0.344 0.363 0.870
I: 0.344 0.981 0.630
I: 0.363 0.019 0.130
I: 0.363 0.344 0.370
I: 0.637 0.656 0.630
I: 0.637 0.981 0.870
I: 0.656 0.019 0.370
I: 0.656 0.637 0.130
I: 0.981 0.344 0.130
I: 0.981 0.637 0.370

## Properties
* raw formation energy: -9.2 eV/f.u.
* space-group type: P-31c (163)
* calculated density: 4.193 Mg/m³
* magnetic moment: 0.011 μB per atom